Computed, not measured: an optimized crystal structure of MgRhI at the PBE-GGA level of DFT.

Structure (extended XYZ):
```
6
Lattice="4.5124 0.0000 0.0000 -2.2562 3.9079 0.0000 0.0000 0.0000 7.4184" Properties=species:S:1:pos:R:3 pbc="T T T"
Mg 0.0000 0.0000 0.0000
Mg 0.0000 0.0000 3.7092
Rh 0.0000 2.6053 1.8546
Rh 2.2562 1.3026 5.5638
I 0.0000 2.6053 5.5638
I 2.2562 1.3026 1.8546
```

Computed properties:
DOS(E_F): 2.22 states/eV/cell
total magnetic moment: 0.0 μB per formula unit
E: -3.37 eV per atom

---

Computed, not measured: an optimized crystal structure of MgRhI at the PBE-GGA level of DFT.

Structure (extended XYZ):
```
12
Lattice="6.3903 0.0000 0.0000 0.0000 6.3903 0.0000 0.0000 0.0000 6.3903" Properties=species:S:1:pos:R:3 pbc="T T T"
Mg 0.0000 0.0000 0.0000
Mg 0.0000 3.1952 3.1952
Mg 3.1952 0.0000 3.1952
Mg 3.1952 3.1952 0.0000
Rh 1.5976 1.5976 1.5976
Rh 1.5976 4.7927 4.7927
Rh 4.7927 1.5976 4.7927
Rh 4.7927 4.7927 1.5976
I 0.0000 0.0000 3.1952
I 0.0000 3.1952 0.0000
I 3.1952 0.0000 0.0000
I 3.1952 3.1952 3.1952
```

Computed properties:
DOS(E_F): 2.58 states/eV/cell
total magnetic moment: 0.0 μB per formula unit
E: -3.60 eV per atom

---

Computed, not measured: an optimized crystal structure of Mg2RhSI at the PBE-GGA level of DFT.

Structure (extended XYZ):
```
5
Lattice="4.6168 0.0000 0.0000 0.0000 4.6168 0.0000 0.0000 0.0000 5.7668" Properties=species:S:1:pos:R:3 pbc="T T T"
Mg 0.0000 2.3084 0.0000
Mg 2.3084 0.0000 0.0000
Rh 0.0000 0.0000 2.8834
S 2.3084 2.3084 0.0000
I 2.3084 2.3084 2.8834
```

Computed properties:
DOS(E_F): 3.75 states/eV/cell
total magnetic moment: 0.0 μB per formula unit
E: -2.89 eV per atom

---

Computed, not measured: an optimized crystal structure of MgTcRh2I at the PBE-GGA level of DFT.

Structure (extended XYZ):
```
5
Lattice="4.6448 0.0000 0.0000 0.0000 4.6448 0.0000 0.0000 0.0000 4.9211" Properties=species:S:1:pos:R:3 pbc="T T T"
Mg 0.0000 0.0000 0.0000
Tc 0.0000 0.0000 2.4606
Rh 0.0000 2.3224 0.0000
Rh 2.3224 0.0000 0.0000
I 2.3224 2.3224 2.4606
```

Computed properties:
DOS(E_F): 5.68 states/eV/cell
total magnetic moment: 4.6 μB per formula unit
E: -4.24 eV per atom

---

Computed, not measured: an optimized crystal structure of MgTeRhI2 at the PBE-GGA level of DFT.

Structure (extended XYZ):
```
5
Lattice="5.4412 0.0000 0.0000 0.0000 5.4412 0.0000 0.0000 0.0000 5.2684" Properties=species:S:1:pos:R:3 pbc="T T T"
Mg 0.0000 0.0000 0.0000
Te 2.7206 2.7206 0.0000
Rh 2.7206 2.7206 2.6342
I 0.0000 2.7206 2.6342
I 2.7206 0.0000 2.6342
```

Computed properties:
DOS(E_F): 3.87 states/eV/cell
total magnetic moment: 0.0 μB per formula unit
E: -2.97 eV per atom

---

Computed, not measured: an optimized crystal structure of MgTe2RhI at the PBE-GGA level of DFT.

Structure (extended XYZ):
```
5
Lattice="5.2665 0.0000 0.0000 0.0000 5.2665 0.0000 0.0000 0.0000 5.4420" Properties=species:S:1:pos:R:3 pbc="T T T"
Mg 0.0000 0.0000 0.0000
Te 0.0000 2.6333 2.7210
Te 2.6333 0.0000 2.7210
Rh 2.6333 2.6333 2.7210
I 2.6333 2.6333 0.0000
```

Computed properties:
DOS(E_F): 6.16 states/eV/cell
total magnetic moment: 0.0 μB per formula unit
E: -3.23 eV per atom

---

Computed, not measured: an optimized crystal structure of MgRuI2 at the PBE-GGA level of DFT.

Structure (extended XYZ):
```
16
Lattice="6.2674 0.0000 0.0000 0.0000 6.2674 0.0000 0.0000 0.0000 12.7137" Properties=species:S:1:pos:R:3 pbc="T T T"
Mg 0.0000 0.0000 0.0000
Mg 0.0000 3.1337 3.1784
Mg 3.1337 0.0000 9.5353
Mg 3.1337 3.1337 6.3569
Ru 0.0000 0.0000 6.3569
Ru 0.0000 3.1337 9.5353
Ru 3.1337 0.0000 3.1784
Ru 3.1337 3.1337 0.0000
I 1.4225 1.5668 7.9461
I 1.5668 4.5561 11.1245
I 1.5668 4.8449 4.7676
I 1.7112 1.5668 1.5892
I 4.5561 4.7005 1.5892
I 4.7005 1.4225 4.7676
I 4.7005 1.7112 11.1245
I 4.8449 4.7005 7.9461
```

Computed properties:
DOS(E_F): 14.10 states/eV/cell
total magnetic moment: 1.4 μB per formula unit
E: -3.16 eV per atom

---

Computed, not measured: an optimized crystal structure of MgRu2I at the PBE-GGA level of DFT.

Structure (extended XYZ):
```
16
Lattice="6.4138 0.0000 0.0000 0.0000 6.4138 0.0000 0.0000 0.0000 6.4138" Properties=species:S:1:pos:R:3 pbc="T T T"
Mg 0.0000 0.0000 0.0000
Mg 0.0000 3.2069 3.2069
Mg 3.2069 0.0000 3.2069
Mg 3.2069 3.2069 0.0000
Ru 1.6035 1.6035 1.6035
Ru 1.6035 1.6035 4.8104
Ru 1.6035 4.8104 1.6035
Ru 1.6035 4.8104 4.8104
Ru 4.8104 1.6035 1.6035
Ru 4.8104 1.6035 4.8104
Ru 4.8104 4.8104 1.6035
Ru 4.8104 4.8104 4.8104
I 0.0000 0.0000 3.2069
I 0.0000 3.2069 0.0000
I 3.2069 0.0000 0.0000
I 3.2069 3.2069 3.2069
```

Computed properties:
DOS(E_F): 16.47 states/eV/cell
total magnetic moment: 0.0 μB per formula unit
E: -4.87 eV per atom

---

Computed, not measured: an optimized crystal structure of MgRu2I at the PBE-GGA level of DFT.

Structure (extended XYZ):
```
16
Lattice="7.3764 0.0000 0.0000 0.0000 7.3764 0.0000 0.0000 0.0000 5.8246" Properties=species:S:1:pos:R:3 pbc="T T T"
Mg 0.0000 0.0000 0.0000
Mg 0.0000 3.6882 1.4562
Mg 3.6882 0.0000 4.3685
Mg 3.6882 3.6882 2.9123
Ru 1.5083 5.5323 3.6404
Ru 1.8441 1.5083 2.1842
Ru 1.8441 2.1799 5.0966
Ru 2.1799 5.5323 0.7281
Ru 5.1965 1.8441 0.7281
Ru 5.5323 5.1965 5.0966
Ru 5.5323 5.8681 2.1842
Ru 5.8681 1.8441 3.6404
I 0.0000 0.0000 2.9123
I 0.0000 3.6882 4.3685
I 3.6882 0.0000 1.4562
I 3.6882 3.6882 0.0000
```

Computed properties:
DOS(E_F): 20.83 states/eV/cell
total magnetic moment: 0.0 μB per formula unit
E: -4.45 eV per atom

---

Computed, not measured: an optimized crystal structure of MgRuI3 at the PBE-GGA level of DFT.

Structure (extended XYZ):
```
5
Lattice="5.4318 0.0000 0.0000 0.0000 5.4318 0.0000 0.0000 0.0000 5.4318" Properties=species:S:1:pos:R:3 pbc="T T T"
Mg 0.0000 0.0000 0.0000
Ru 2.7159 2.7159 2.7159
I 0.0000 2.7159 2.7159
I 2.7159 0.0000 2.7159
I 2.7159 2.7159 0.0000
```

Computed properties:
DOS(E_F): 4.48 states/eV/cell
total magnetic moment: 0.0 μB per formula unit
E: -2.88 eV per atom

---

Computed, not measured: an optimized crystal structure of MgRu3I at the PBE-GGA level of DFT.

Structure (extended XYZ):
```
5
Lattice="4.7930 0.0000 0.0000 0.0000 4.7930 0.0000 0.0000 0.0000 4.7930" Properties=species:S:1:pos:R:3 pbc="T T T"
Mg 0.0000 0.0000 0.0000
Ru 0.0000 2.3965 2.3965
Ru 2.3965 0.0000 2.3965
Ru 2.3965 2.3965 0.0000
I 2.3965 2.3965 2.3965
```

Computed properties:
DOS(E_F): 7.69 states/eV/cell
total magnetic moment: 1.0 μB per formula unit
E: -4.73 eV per atom

---

Computed, not measured: an optimized crystal structure of MgRuI3 at the PBE-GGA level of DFT.

Structure (extended XYZ):
```
5
Lattice="5.6899 0.0000 0.0000 0.0000 5.6899 0.0000 0.0000 0.0000 5.6899" Properties=species:S:1:pos:R:3 pbc="T T T"
Mg 0.0000 0.0000 0.0000
Ru 2.8450 2.8450 2.8450
I 0.0000 0.0000 2.8450
I 0.0000 2.8450 0.0000
I 2.8450 0.0000 0.0000
```

Computed properties:
DOS(E_F): 3.79 states/eV/cell
total magnetic moment: 3.0 μB per formula unit
E: -2.61 eV per atom